# 1
# NiCl4, relaxed, DFT GGA-PBEsol
# - N(E_F): 0.95 states/eV/atom
# - E_form (uncorrected): 4.75 kcal/mol of atoms
# - Calculated volume: 191 Å³ per cell
data_NiCl4
_chemical_formula_sum 'Ni2 Cl8'
_cell_length_a 5.7555
_cell_length_b 5.7555
_cell_length_c 5.7555
_cell_angle_alpha 90.00
_cell_angle_beta 90.00
_cell_angle_gamma 90.00
_symmetry_space_group_name_H-M 'I m -3 m'
_symmetry_Int_Tables_number 229
_symmetry_space_group_name_Hall '-I 4 2 3'
loop_
_atom_site_label
_atom_site_type_symbol
_atom_site_fract_x
_atom_site_fract_y
_atom_site_fract_z
Ni1 Ni 0.0000 0.0000 0.0000
Cl1 Cl 0.2500 0.2500 0.2500

=====

# 2
# Ni2Cl, relaxed, DFT GGA-PBEsol
# - N(E_F): 1.58 states/eV/atom
# - E_form (uncorrected): 14.81 kcal/mol of atoms
# - Calculated volume: 154 Å³ per cell
data_Ni2Cl
_chemical_formula_sum 'Ni8 Cl4'
_cell_length_a 5.3612
_cell_length_b 5.3612
_cell_length_c 5.3612
_cell_angle_alpha 90.00
_cell_angle_beta 90.00
_cell_angle_gamma 90.00
_symmetry_space_group_name_H-M 'F m -3 m'
_symmetry_Int_Tables_number 225
_symmetry_space_group_name_Hall '-F 4 2 3'
loop_
_atom_site_label
_atom_site_type_symbol
_atom_site_fract_x
_atom_site_fract_y
_atom_site_fract_z
Ni1 Ni 0.2500 0.2500 0.2500
Cl1 Cl 0.0000 0.0000 0.0000

=====

# 3
# Ni3Cl, relaxed, DFT GGA-PBEsol
# - N(E_F): 1.36 states/eV/atom
# - E_form (uncorrected): 9.49 kcal/mol of atoms
# - Calculated volume: 95 Å³ per cell
data_Ni3Cl
_chemical_formula_sum 'Ni6 Cl2'
_cell_length_a 2.8148
_cell_length_b 8.7646
_cell_length_c 3.8407
_cell_angle_alpha 90.00
_cell_angle_beta 90.00
_cell_angle_gamma 90.00
_symmetry_space_group_name_H-M 'I m m 2'
_symmetry_Int_Tables_number 44
loop_
_symmetry_equiv_pos_as_xyz
'x,y,z'
'-x,-y,z'
'-x,y,z'
'x,-y,z'
'x+1/2,y+1/2,z+1/2'
'-x+1/2,-y+1/2,z+1/2'
'-x+1/2,y+1/2,z+1/2'
'x+1/2,-y+1/2,z+1/2'
loop_
_atom_site_label
_atom_site_type_symbol
_atom_site_fract_x
_atom_site_fract_y
_atom_site_fract_z
Ni1 Ni 0.0000 0.0000 0.0000
Ni2 Ni 0.0000 0.2807 0.7951
Cl1 Cl 0.0000 0.5000 0.0322

=====

# 4
# Ni3ClO, relaxed, DFT GGA-PBEsol
# - N(E_F): 1.54 states/eV/atom
# - E_form (uncorrected): 2.85 kcal/mol of atoms
# - Calculated volume: 57 Å³ per cell
data_Ni3ClO
_chemical_formula_sum 'Ni3 Cl1 O1'
_cell_length_a 3.8376
_cell_length_b 3.8376
_cell_length_c 3.8376
_cell_angle_alpha 90.00
_cell_angle_beta 90.00
_cell_angle_gamma 90.00
_symmetry_space_group_name_H-M 'P m -3 m'
_symmetry_Int_Tables_number 221
_symmetry_space_group_name_Hall '-P 4 2 3'
loop_
_atom_site_label
_atom_site_type_symbol
_atom_site_fract_x
_atom_site_fract_y
_atom_site_fract_z
Ni1 Ni 0.0000 0.0000 0.5000
Cl1 Cl 0.5000 0.5000 0.5000
O1 O 0.0000 0.0000 0.0000

=====

# 5
# NiCl2O, relaxed, DFT GGA-PBEsol
# - N(E_F): 0.70 states/eV/atom
# - E_form (uncorrected): 15.96 kcal/mol of atoms
# - Calculated volume: 219 Å³ per cell
data_NiCl2O
_chemical_formula_sum 'Ni4 Cl8 O4'
_cell_length_a 6.0296
_cell_length_b 6.0296
_cell_length_c 6.0296
_cell_angle_alpha 90.00
_cell_angle_beta 90.00
_cell_angle_gamma 90.00
_symmetry_space_group_name_H-M 'F m -3 m'
_symmetry_Int_Tables_number 225
_symmetry_space_group_name_Hall '-F 4 2 3'
loop_
_atom_site_label
_atom_site_type_symbol
_atom_site_fract_x
_atom_site_fract_y
_atom_site_fract_z
Ni1 Ni 0.0000 0.0000 0.0000
Cl1 Cl 0.2500 0.2500 0.2500
O1 O 0.0000 0.0000 0.5000

=====

# 6
# NiSCl2O, relaxed, DFT GGA-PBEsol
# - N(E_F): 1.38 states/eV/atom
# - E_form (uncorrected): 20.67 kcal/mol of atoms
# - Calculated volume: 78 Å³ per cell
data_NiSCl2O
_chemical_formula_sum 'Ni1 S1 Cl2 O1'
_cell_length_a 4.5344
_cell_length_b 4.5344
_cell_length_c 3.8147
_cell_angle_alpha 90.00
_cell_angle_beta 90.00
_cell_angle_gamma 90.00
_symmetry_space_group_name_H-M 'P 4/m m m'
_symmetry_Int_Tables_number 123
_symmetry_space_group_name_Hall '-P 4 2'
loop_
_atom_site_label
_atom_site_type_symbol
_atom_site_fract_x
_atom_site_fract_y
_atom_site_fract_z
Ni1 Ni 0.0000 0.0000 0.0000
S1 S 0.5000 0.5000 0.0000
Cl1 Cl 0.0000 0.5000 0.5000
O1 O 0.5000 0.5000 0.5000

=====

# 7
# Sr2NiSe2Cl2O6, relaxed, DFT GGA-PBEsol
# - E_form (uncorrected): -37.19 kcal/mol of atoms
# - Calculated volume: 410 Å³ per cell
data_Sr2NiSe2Cl2O6
_chemical_formula_sum 'Sr4 Ni2 Se4 Cl4 O12'
_cell_length_a 5.3278
_cell_length_b 6.4015
_cell_length_c 12.8728
_cell_angle_alpha 90.00
_cell_angle_beta 111.02
_cell_angle_gamma 90.00
_symmetry_space_group_name_H-M 'P 1 21/c 1'
_symmetry_Int_Tables_number 14
loop_
_symmetry_equiv_pos_as_xyz
'x,y,z'
'-x,-y,-z'
'-x,y+1/2,-z+1/2'
'x,-y+1/2,z+1/2'
loop_
_atom_site_label
_atom_site_type_symbol
_atom_site_fract_x
_atom_site_fract_y
_atom_site_fract_z
Sr1 Sr 0.2193 0.1994 0.2345
Ni1 Ni 0.5000 0.0000 0.0000
Se1 Se 0.0772 0.7404 0.0692
Cl1 Cl 0.4494 0.6801 0.8997
O1 O 0.1086 0.5683 0.1734
O2 O 0.1179 0.0711 0.8963
O3 O 0.3799 0.6244 0.6218

=====

# 8
# Sr2NiClO3, relaxed, DFT GGA-PBEsol
# - N(E_F): 0.27 states/eV/atom
# - E_form (uncorrected): -47.96 kcal/mol of atoms
# - Calculated volume: 208 Å³ per cell
data_Sr2NiClO3
_chemical_formula_sum 'Sr4 Ni2 Cl2 O6'
_cell_length_a 3.7934
_cell_length_b 3.7934
_cell_length_c 14.4308
_cell_angle_alpha 90.00
_cell_angle_beta 90.00
_cell_angle_gamma 90.00
_symmetry_space_group_name_H-M 'P 4/n m m'
_symmetry_Int_Tables_number 129
loop_
_symmetry_equiv_pos_as_xyz
'x,y,z'
'-x,-y,-z'
'-y+1/2,x,z'
'y+1/2,-x,-z'
'-x+1/2,-y+1/2,z'
'x+1/2,y+1/2,-z'
'y,-x+1/2,z'
'-y,x+1/2,-z'
'x+1/2,-y,-z'
'-x+1/2,y,z'
'-y,-x,-z'
'y,x,z'
'-x,y+1/2,-z'
'x,-y+1/2,z'
'y+1/2,x+1/2,-z'
'-y+1/2,-x+1/2,z'
loop_
_atom_site_label
_atom_site_type_symbol
_atom_site_fract_x
_atom_site_fract_y
_atom_site_fract_z
Sr1 Sr 0.2500 0.2500 0.0955
Sr2 Sr 0.2500 0.2500 0.3408
Ni1 Ni 0.2500 0.2500 0.7951
Cl1 Cl 0.2500 0.2500 0.5762
O1 O 0.2500 0.2500 0.9261
O2 O 0.2500 0.7500 0.2265

=====

# 9
# Ni7Te6Cl2O18, relaxed, DFT GGA-PBEsol
# - E_form (uncorrected): -18.84 kcal/mol of atoms
# - Calculated volume: 1381 Å³ per cell
data_Ni7Te6Cl2O18
_chemical_formula_sum 'Ni21 Te18 Cl6 O54'
_cell_length_a 10.9091
_cell_length_b 10.9091
_cell_length_c 13.4013
_cell_angle_alpha 90.00
_cell_angle_beta 90.00
_cell_angle_gamma 120.00
_symmetry_space_group_name_H-M 'R -3'
_symmetry_Int_Tables_number 148
_symmetry_space_group_name_Hall '-R 3'
loop_
_atom_site_label
_atom_site_type_symbol
_atom_site_fract_x
_atom_site_fract_y
_atom_site_fract_z
Ni1 Ni 0.0000 0.0000 0.0000
Ni2 Ni 0.0564 0.8651 0.8233
Te1 Te 0.0318 0.4710 0.2675
Cl1 Cl 0.0000 0.0000 0.2936
O1 O 0.0101 0.4399 0.4089
O2 O 0.0124 0.4097 0.9070
O3 O 0.0484 0.8865 0.0970

=====

# 10
# NiOsCl4, relaxed, DFT GGA-PBEsol
# - N(E_F): 1.71 states/eV/atom
# - E_form (uncorrected): 41.59 kcal/mol of atoms
# - Calculated volume: 447 Å³ per cell
data_NiOsCl4
_chemical_formula_sum 'Ni4 Os4 Cl16'
_cell_length_a 7.6478
_cell_length_b 7.6478
_cell_length_c 7.6478
_cell_angle_alpha 90.00
_cell_angle_beta 90.00
_cell_angle_gamma 90.00
_symmetry_space_group_name_H-M 'F -4 3 m'
_symmetry_Int_Tables_number 216
_symmetry_space_group_name_Hall 'F -4 2 3'
loop_
_atom_site_label
_atom_site_type_symbol
_atom_site_fract_x
_atom_site_fract_y
_atom_site_fract_z
Ni1 Ni 0.0000 0.0000 0.0000
Os1 Os 0.2500 0.2500 0.2500
Cl1 Cl 0.1248 0.1248 0.6248

=====

# 11
# NiOs2Cl, relaxed, DFT GGA-PBEsol
# - N(E_F): 0.92 states/eV/atom
# - E_form (uncorrected): 12.01 kcal/mol of atoms
# - Calculated volume: 60 Å³ per cell
data_NiOs2Cl
_chemical_formula_sum 'Ni1 Os2 Cl1'
_cell_length_a 2.7908
_cell_length_b 3.4150
_cell_length_c 6.3257
_cell_angle_alpha 90.00
_cell_angle_beta 90.06
_cell_angle_gamma 90.00
_symmetry_space_group_name_H-M 'P 1 m 1'
_symmetry_Int_Tables_number 6
loop_
_symmetry_equiv_pos_as_xyz
'x,y,z'
'x,-y,z'
loop_
_atom_site_label
_atom_site_type_symbol
_atom_site_fract_x
_atom_site_fract_y
_atom_site_fract_z
Ni1 Ni 0.0000 0.0000 0.0000
Os1 Os 0.0012 0.0000 0.4133
Os2 Os 0.5007 0.5000 0.2194
Cl1 Cl 0.0028 0.5000 0.7264

=====

# 12
# SiNi2OsCl, relaxed, DFT GGA-PBEsol
# - N(E_F): 1.12 states/eV/atom
# - E_form (uncorrected): 26.32 kcal/mol of atoms
# - Calculated volume: 73 Å³ per cell
data_SiNi2OsCl
_chemical_formula_sum 'Si1 Ni2 Os1 Cl1'
_cell_length_a 3.9962
_cell_length_b 3.9962
_cell_length_c 4.5469
_cell_angle_alpha 90.00
_cell_angle_beta 90.00
_cell_angle_gamma 90.00
_symmetry_space_group_name_H-M 'P 4/m m m'
_symmetry_Int_Tables_number 123
_symmetry_space_group_name_Hall '-P 4 2'
loop_
_atom_site_label
_atom_site_type_symbol
_atom_site_fract_x
_atom_site_fract_y
_atom_site_fract_z
Si1 Si 0.0000 0.0000 0.0000
Ni1 Ni 0.0000 0.5000 0.5000
Os1 Os 0.5000 0.5000 0.0000
Cl1 Cl 0.5000 0.5000 0.5000

=====

# 13
# NiP4Cl, relaxed, DFT GGA-PBEsol
# - N(E_F): 1.11 states/eV/atom
# - E_form (uncorrected): 13.58 kcal/mol of atoms
# - Calculated volume: 409 Å³ per cell
data_NiP4Cl
_chemical_formula_sum 'Ni4 P16 Cl4'
_cell_length_a 7.4249
_cell_length_b 7.4249
_cell_length_c 7.4249
_cell_angle_alpha 90.00
_cell_angle_beta 90.00
_cell_angle_gamma 90.00
_symmetry_space_group_name_H-M 'F -4 3 m'
_symmetry_Int_Tables_number 216
_symmetry_space_group_name_Hall 'F -4 2 3'
loop_
_atom_site_label
_atom_site_type_symbol
_atom_site_fract_x
_atom_site_fract_y
_atom_site_fract_z
Ni1 Ni 0.0000 0.0000 0.0000
P1 P 0.1067 0.1067 0.3933
Cl1 Cl 0.2500 0.2500 0.7500